# Ru2AuBr

An optimized crystal structure of Ru2AuBr (GGA-PBE, Alexandria).

Lattice parameters (Å, degrees): 5.428 5.428 5.428 148.71 125.86 63.87
Sites, in units of the cell vectors:
1 Ru 0.230 0.230 0.000
2 Ru 0.770 0.770 0.000
3 Au 0.500 0.000 0.500
4 Br 0.000 0.500 0.500

E_form (uncorrected), kJ/mol of atoms: 92
Energy, eV/atom: -4.92
Energy relative to the lowest polymorph listed for this composition, meV/atom: 569
Space group: Immm, No. 71